Here is a relaxed BiIr3C crystal from Alexandria. Energies are from PBE-GGA.

density of states at the Fermi level: 4.3 states/eV/f.u.
spin magnetization: 1.9 μB per formula unit
DFT formation energy: 3505 meV/atom

POSCAR file:
```
BiIr3C
1.0
-3.824 -3.148 0.658
0.736 -1.852 -4.581
3.130 -3.409 1.881
Bi C Ir
1 1 3
Direct
0.000 0.000 0.000
0.500 0.500 0.500
0.000 0.000 0.500
0.000 0.500 0.000
0.500 0.000 0.000
```



Here is a relaxed Pm5Pr2SmEr crystal from Alexandria. Energies are from PBE-GGA.

density of states at the Fermi level: 13.6 states/eV/f.u.
spin magnetization: 0.0 μB per formula unit
DFT formation energy: 270 meV/atom

POSCAR file:
```
Pm5Pr2SmEr
1.0
-5.014 3.463 -6.290
1.517 -6.988 -5.056
-4.776 -1.942 8.835
Pm Sm Pr Er
10 2 4 2
Direct
0.144 0.072 0.717
0.856 0.928 0.283
0.000 0.000 0.000
0.928 0.428 0.283
0.356 0.856 0.283
0.072 0.572 0.717
0.428 0.356 0.283
0.572 0.644 0.717
0.500 0.500 0.000
0.644 0.144 0.717
0.250 0.250 0.500
0.750 0.750 0.500
0.120 0.380 0.000
0.880 0.620 0.000
0.380 0.880 0.000
0.620 0.120 0.000
0.250 0.750 0.500
0.750 0.250 0.500
```



Here is a relaxed BaScTa2 crystal from Alexandria. Energies are from PBE-GGA.

density of states at the Fermi level: 4.9 states/eV/f.u.
spin magnetization: 0.0 μB per formula unit
DFT formation energy: 946 meV/atom

POSCAR file:
```
BaScTa2
1.0
6.044 0.012 0.014
3.023 5.234 -0.014
-4.130 -3.320 2.907
Ta Ba Sc
2 1 1
Direct
0.491 0.491 0.000
0.009 0.009 0.000
0.750 0.250 0.500
0.250 0.750 0.500
```



Here is a relaxed LiPb crystal from Alexandria. Energies are from PBE-GGA.

density of states at the Fermi level: 0.6 states/eV/f.u.
spin magnetization: 0.0 μB per formula unit
DFT formation energy: -56 meV/atom

POSCAR file:
```
LiPb
1.0
-9.515 -4.262 1.205
-8.282 -6.339 -1.179
-7.606 -6.922 2.095
Li Pb
2 2
Direct
0.004 0.004 0.004
0.746 0.746 0.746
0.491 0.491 0.491
0.259 0.259 0.259
```



Here is a relaxed YEr2Sc crystal from Alexandria. Energies are from PBE-GGA.

density of states at the Fermi level: 6.2 states/eV/f.u.
spin magnetization: 0.0 μB per formula unit
DFT formation energy: 45 meV/atom

POSCAR file:
```
YEr2Sc
1.0
3.482 0.000 0.000
0.000 3.482 0.000
0.000 0.000 9.693
Sc Er Y
1 2 1
Direct
0.500 0.500 0.000
0.000 0.000 0.238
0.000 0.000 0.762
0.500 0.500 0.500
```



Here is a relaxed Ac2Pr2Sb5 crystal from Alexandria. Energies are from PBE-GGA.

formation energy from raw total energies: -0.93 eV/atom
density of states at the Fermi level: 6.2 states/eV/f.u.
spin magnetization: 0.0 μB per formula unit

POSCAR file:
```
Ac2Pr2Sb5
1.0
8.642 0.000 0.000
0.000 8.116 -4.850
0.000 -0.913 9.410
Pr Ac Sb
4 4 10
Direct
0.500 0.312 0.688
0.000 0.812 0.188
0.000 0.188 0.812
0.500 0.688 0.312
0.834 0.336 0.336
0.334 0.164 0.164
0.666 0.836 0.836
0.166 0.664 0.664
0.630 0.274 0.986
0.130 0.514 0.226
0.370 0.726 0.014
0.870 0.774 0.486
0.130 0.226 0.514
0.500 0.500 0.500
0.870 0.486 0.774
0.630 0.986 0.274
0.000 0.000 0.000
0.370 0.014 0.726
```



Here is a relaxed Ti2TeRuBr crystal from Alexandria. Energies are from PBE-GGA.

formation energy from raw total energies: 0.32 eV/atom
density of states at the Fermi level: 6.3 states/eV/f.u.
spin magnetization: 2.4 μB per formula unit

POSCAR file:
```
Ti2TeRuBr
1.0
4.999 0.000 0.000
0.000 4.907 0.000
0.000 0.000 4.999
Te Ti Ru Br
1 2 1 1
Direct
0.000 0.500 0.000
0.500 0.000 0.000
0.000 0.000 0.500
0.000 0.000 0.000
0.500 0.500 0.500
```



Here is a relaxed TbHf2Al9 crystal from Alexandria. Energies are from PBE-GGA.

density of states at the Fermi level: 6.7 states/eV/f.u.
spin magnetization: 0.0 μB per formula unit
DFT formation energy: -283 meV/atom

POSCAR file:
```
TbHf2Al9
1.0
5.354 0.000 0.000
2.677 4.637 0.000
2.677 1.546 8.753
Al Hf Tb
9 2 1
Direct
0.081 0.590 0.739
0.590 0.081 0.739
0.919 0.410 0.261
0.410 0.410 0.261
0.334 0.334 0.998
0.590 0.590 0.739
0.500 0.500 0.500
0.410 0.919 0.261
0.666 0.666 0.002
0.855 0.855 0.435
0.145 0.145 0.565
0.000 0.000 0.000
```



Here is a relaxed HoTh2ScSb5 crystal from Alexandria. Energies are from PBE-GGA.

formation energy from raw total energies: -0.16 eV/atom
density of states at the Fermi level: 6.2 states/eV/f.u.
spin magnetization: 0.0 μB per formula unit

POSCAR file:
```
HoTh2ScSb5
1.0
5.284 0.000 0.000
0.000 5.284 0.000
0.000 0.000 11.126
Th Sb Ho Sc
2 5 1 1
Direct
0.500 0.500 0.299
0.500 0.500 0.701
0.000 0.500 0.500
0.500 0.000 0.500
0.000 0.000 0.760
0.500 0.500 0.000
0.000 0.000 0.240
0.000 0.000 0.500
0.000 0.000 0.000
```



Here is a relaxed Pa3C4 crystal from Alexandria. Energies are from PBE-GGA.

density of states at the Fermi level: 8.4 states/eV/f.u.
spin magnetization: 0.0 μB per formula unit
DFT formation energy: -42 meV/atom

POSCAR file:
```
Pa3C4
1.0
-4.268 0.458 4.820
4.605 -4.231 1.598
2.666 5.780 -1.069
C Pa
8 6
Direct
0.631 0.131 0.131
0.869 0.500 0.000
0.131 0.631 0.631
0.500 0.869 0.500
0.000 0.000 0.869
0.500 0.369 0.500
0.369 0.500 0.000
0.000 0.000 0.369
0.250 0.875 0.125
0.125 0.375 0.250
0.750 0.625 0.375
0.625 0.750 0.875
0.375 0.125 0.750
0.875 0.250 0.625
```



Here is a relaxed CaLaI2 crystal from Alexandria. Energies are from PBE-GGA.

formation energy from raw total energies: -0.84 eV/atom
density of states at the Fermi level: 2.5 states/eV/f.u.
spin magnetization: 1.0 μB per formula unit

POSCAR file:
```
CaLaI2
1.0
1.585 -4.036 -3.547
-1.804 -5.251 0.745
-3.713 -2.218 -3.560
Ca I La
1 2 1
Direct
0.000 0.000 0.000
0.250 0.250 0.250
0.750 0.750 0.750
0.500 0.500 0.500
```



Here is a relaxed Ta2SnBr crystal from Alexandria. Energies are from PBE-GGA.

formation energy from raw total energies: 0.57 eV/atom
density of states at the Fermi level: 5.2 states/eV/f.u.
spin magnetization: 0.0 μB per formula unit

POSCAR file:
```
Ta2SnBr
1.0
-1.017 -4.056 -2.307
-4.545 -1.176 -0.872
-1.691 0.151 -4.463
Ta Sn Br
2 1 1
Direct
0.750 0.750 0.750
0.250 0.250 0.250
0.500 0.500 0.500
0.000 0.000 0.000
```



Here is a relaxed ThSc4Hg5 crystal from Alexandria. Energies are from PBE-GGA.

density of states at the Fermi level: 9.5 states/eV/f.u.
spin magnetization: 0.0 μB per formula unit
DFT formation energy: -388 meV/atom

POSCAR file:
```
ThSc4Hg5
1.0
3.508 0.000 0.000
0.000 3.508 0.000
0.000 0.000 18.632
Hg Sc Th
5 4 1
Direct
0.500 0.500 0.500
0.500 0.500 0.310
0.500 0.500 0.690
0.500 0.500 0.878
0.500 0.500 0.122
0.000 0.000 0.405
0.000 0.000 0.595
0.000 0.000 0.785
0.000 0.000 0.215
0.000 0.000 0.000
```



Here is a relaxed Mg3Sc2Zn3 crystal from Alexandria. Energies are from PBE-GGA.

density of states at the Fermi level: 2.9 states/eV/f.u.
spin magnetization: 0.0 μB per formula unit
DFT formation energy: -232 meV/atom

POSCAR file:
```
Mg3Sc2Zn3
1.0
4.540 0.000 1.368
2.064 4.044 1.368
-0.004 -0.002 8.229
Sc Zn Mg
2 3 3
Direct
0.494 0.494 0.519
0.007 0.007 0.979
0.127 0.127 0.620
0.370 0.370 0.890
0.880 0.880 0.361
0.624 0.624 0.129
0.246 0.246 0.262
0.753 0.753 0.741
```



Here is a relaxed Be3InOs crystal from Alexandria. Energies are from PBE-GGA.

density of states at the Fermi level: 4.6 states/eV/f.u.
spin magnetization: 1.8 μB per formula unit
DFT formation energy: 1861 meV/atom

POSCAR file:
```
Be3InOs
1.0
-1.274 -3.579 -1.985
3.345 0.287 -2.665
2.358 -2.342 2.708
In Be Os
1 3 1
Direct
0.000 0.000 0.000
0.000 0.500 0.000
0.500 0.000 0.000
0.000 0.000 0.500
0.500 0.500 0.500
```



Here is a relaxed AcBPb2O5 crystal from Alexandria. Energies are from PBE-GGA.

formation energy from raw total energies: -2.03 eV/atom
density of states at the Fermi level: 0.0 states/eV/f.u.
spin magnetization: 0.0 μB per formula unit

POSCAR file:
```
AcBPb2O5
1.0
6.744 0.000 0.000
0.000 6.744 0.000
-3.372 -3.372 5.512
O Pb B Ac
10 4 2 2
Direct
0.299 0.799 0.340
0.701 0.201 0.660
0.500 0.500 0.000
0.201 0.959 0.660
0.459 0.701 0.660
0.000 0.000 0.000
0.041 0.541 0.340
0.541 0.299 0.340
0.959 0.459 0.660
0.799 0.041 0.340
0.169 0.331 0.000
0.669 0.169 0.000
0.831 0.669 0.000
0.331 0.831 0.000
0.250 0.750 0.500
0.750 0.250 0.500
0.750 0.750 0.500
0.250 0.250 0.500
```



Here is a relaxed Pr8Rh3I4Cl crystal from Alexandria. Energies are from PBE-GGA.

formation energy from raw total energies: -0.96 eV/atom
density of states at the Fermi level: 8.5 states/eV/f.u.
spin magnetization: 0.0 μB per formula unit

POSCAR file:
```
Pr8Rh3I4Cl
1.0
8.533 0.000 0.000
0.000 9.466 0.655
-4.267 -4.269 6.036
Rh I Pr Cl
3 4 8 1
Direct
0.500 0.500 0.000
0.000 0.500 0.500
0.500 0.500 0.500
0.500 0.000 0.000
0.500 0.000 0.500
0.000 0.000 0.500
0.000 0.000 0.000
0.241 0.691 0.483
0.728 0.684 0.456
0.241 0.691 0.950
0.708 0.691 0.950
0.272 0.316 0.544
0.292 0.309 0.050
0.759 0.309 0.050
0.759 0.309 0.517
0.000 0.500 0.000
```